# CuAg2Pd6 (GGA-PBE, relaxed)
data_CuAg2Pd6
_cell_length_a 3.936
_cell_length_b 11.805
_cell_length_c 12.104
_cell_angle_alpha 90.00
_cell_angle_beta 90.00
_cell_angle_gamma 90.00
_space_group_name_H-M_alt 'F m m m'
_space_group_IT_number 69
_space_group_name_Hall '-F 2 2'
loop_
_atom_site_label
_atom_site_type_symbol
_atom_site_fract_x
_atom_site_fract_y
_atom_site_fract_z
Cu1 Cu 0.000 0.000 0.000
Ag1 Ag 0.000 0.163 0.500
Pd1 Pd 0.000 0.000 0.334
Pd2 Pd 0.000 0.165 0.168
# energy relative to the elements: -0.1 eV/f.u.
# raw total energy: -4.567 eV per atom
# ΔE to the lowest computed polymorph: 15 meV/atom
# Fermi-level density of states: 12.8 states/eV/f.u.